--- 1 ---
DFT (GGA-PBE) results for HoZrP after structural relaxation.

The value obtained for the density of states at the Fermi level is 0.78 states/eV/atom. The magnetization is 0.0 μB per formula unit. The calculated density comes out at 6.64 g/cm3.

abc: 6.3605 6.3605 18.4458
angles: 90.00 90.00 120.00
Space group R3 (No. 146, hexagonal axes)
Symmetry-distinct sites (fractional):
Ho 0.0045 0.3297 0.0000 (multiplicity 9)
Zr 0.0142 0.6697 0.5015 (multiplicity 9)
P 0.0000 0.0000 0.0938 (multiplicity 3)
P 0.0000 0.0000 0.4218 (multiplicity 3)
P 0.0000 0.0000 0.5827 (multiplicity 3)

***

--- 2 ---
DFT (GGA-PBE) results for HoZrP after structural relaxation.

The value obtained for the density of states at the Fermi level is 1.42 states/eV/atom. The magnetization is 0.0 μB per formula unit. The calculated density comes out at 7.08 g/cm3.

abc: 4.4590 4.4590 3.9098
angles: 90.00 90.00 120.00
Space group P-6m2 (No. 187)
Symmetry-distinct sites (fractional):
Ho 0.0000 0.0000 0.0000 (multiplicity 1)
Zr 0.6667 0.3333 0.5000 (multiplicity 1)
P 0.3333 0.6667 0.5000 (multiplicity 1)

***

Least stable of them? 2.

***

--- 1 ---
DFT (GGA-PBE) results for HoPa2 after structural relaxation.

The value obtained for the density of states at the Fermi level is 2.17 states/eV/atom. The magnetization is 0.0 μB per formula unit. The calculated density comes out at 12.92 g/cm3.

abc: 3.6001 3.6001 12.4323
angles: 90.00 90.00 90.00
Space group I4/mmm (No. 139)
Symmetry-distinct sites (fractional):
Ho 0.0000 0.0000 0.0000 (multiplicity 2)
Pa 0.0000 0.0000 0.3137 (multiplicity 4)

***

--- 2 ---
DFT (GGA-PBE) results for HoPa2 after structural relaxation.

The value obtained for the density of states at the Fermi level is 2.81 states/eV/atom. The magnetization is 0.0 μB per formula unit. The calculated density comes out at 12.71 g/cm3.

abc: 8.6865 8.6865 8.6865
angles: 90.00 90.00 90.00
Space group Fd-3m (No. 227, origin choice 2)
Symmetry-distinct sites (fractional):
Ho 0.1250 0.1250 0.1250 (multiplicity 8)
Pa 0.0000 0.0000 0.5000 (multiplicity 16)

***

Least stable of them? 1.

***

--- 1 ---
DFT (GGA-PBE) results for HoPaPb after structural relaxation.

The value obtained for the density of states at the Fermi level is 1.85 states/eV/atom. The magnetization is 0.7 μB per formula unit. The calculated density comes out at 11.90 g/cm3.

abc: 4.0190 4.0190 10.4176
angles: 90.00 90.00 90.00
Space group I4mm (No. 107)
Symmetry-distinct sites (fractional):
Ho 0.0000 0.0000 0.0000 (multiplicity 2)
Pa 0.0000 0.0000 0.6895 (multiplicity 2)
Pb 0.0000 0.0000 0.3507 (multiplicity 2)

***

--- 2 ---
DFT (GGA-PBE) results for HoPaPb after structural relaxation.

The value obtained for the density of states at the Fermi level is 1.94 states/eV/atom. The magnetization is 0.0 μB per formula unit. The calculated density comes out at 12.00 g/cm3.

abc: 4.0947 4.0947 9.9520
angles: 90.00 90.00 90.00
Space group P4/nmm (No. 129, origin choice 2)
Symmetry-distinct sites (fractional):
Ho 0.2500 0.2500 0.2400 (multiplicity 2)
Pa 0.2500 0.2500 0.5728 (multiplicity 2)
Pb 0.2500 0.2500 0.9038 (multiplicity 2)

***

Least stable of them? 1.